[1]
The following is a DFT calculation (PBE) of crystalline SrPm2VN4 at its relaxed geometry.

Cell and atoms, written as CIF:
```
data_SrPm2VN4
_chemical_formula_sum 'Sr4 Pm8 V4 N16'
_cell_length_a 3.509
_cell_length_b 12.238
_cell_length_c 12.150
_cell_angle_alpha 90.00
_cell_angle_beta 90.00
_cell_angle_gamma 90.00
_space_group_name_H-M_alt 'C m c m'
_space_group_IT_number 63
_space_group_name_Hall '-C 2c 2'
loop_
_atom_site_label
_atom_site_fract_x
_atom_site_fract_y
_atom_site_fract_z
Sr1 0.000 0.093 0.250
Pm1 0.000 0.370 0.041
V1 0.000 0.177 0.750
N1 0.000 0.000 0.000
N2 0.000 0.262 0.629
N3 0.000 0.401 0.250
```

The density of states at the Fermi level is 0.422 states/eV per atom. For the final energy, the calculation gives -0.5799 Ry/atom. The value obtained for the total magnetization is 0.061 μB per atom. Its uncorrected formation energy is -1.190 eV per atom. The calculation puts the volume at 16.3 Å³ per atom.



[2]
The following is a DFT calculation (PBE) of crystalline SrPmWN4 at its relaxed geometry.

Cell and atoms, written as CIF:
```
data_SrPmWN4
_chemical_formula_sum 'Sr2 Pm2 W2 N8'
_cell_length_a 3.980
_cell_length_b 3.980
_cell_length_c 12.774
_cell_angle_alpha 90.00
_cell_angle_beta 90.00
_cell_angle_gamma 90.00
_space_group_name_H-M_alt 'I 4 m m'
_space_group_IT_number 107
_space_group_name_Hall 'I 4 -2'
loop_
_atom_site_label
_atom_site_fract_x
_atom_site_fract_y
_atom_site_fract_z
Sr1 0.000 0.000 0.000
Pm1 0.000 0.000 0.712
W1 0.000 0.000 0.360
N1 0.000 0.000 0.190
N2 0.000 0.000 0.512
N3 0.000 0.500 0.344
```

The density of states at the Fermi level is 0.616 states/eV per atom. For the final energy, the calculation gives -0.6089 Ry/atom. The value obtained for the total magnetization is 0.140 μB per atom. Its uncorrected formation energy is -0.758 eV per atom. The calculation puts the volume at 14.5 Å³ per atom.



[3]
The following is a DFT calculation (PBE) of crystalline SrPm2WN4 at its relaxed geometry.

Cell and atoms, written as CIF:
```
data_SrPm2WN4
_chemical_formula_sum 'Sr4 Pm8 W4 N16'
_cell_length_a 3.525
_cell_length_b 12.431
_cell_length_c 12.431
_cell_angle_alpha 90.00
_cell_angle_beta 90.00
_cell_angle_gamma 90.00
_space_group_name_H-M_alt 'C m c m'
_space_group_IT_number 63
_space_group_name_Hall '-C 2c 2'
loop_
_atom_site_label
_atom_site_fract_x
_atom_site_fract_y
_atom_site_fract_z
Sr1 0.000 0.086 0.250
Pm1 0.000 0.371 0.037
W1 0.000 0.176 0.750
N1 0.000 0.000 0.000
N2 0.000 0.262 0.625
N3 0.000 0.407 0.250
```

The density of states at the Fermi level is 0.542 states/eV per atom. For the final energy, the calculation gives -0.5981 Ry/atom. The value obtained for the total magnetization is 0.073 μB per atom. Its uncorrected formation energy is -0.958 eV per atom. The calculation puts the volume at 17.0 Å³ per atom.



[4]
The following is a DFT calculation (PBE) of crystalline Sr2PmWN4 at its relaxed geometry.

Cell and atoms, written as CIF:
```
data_Sr2PmWN4
_chemical_formula_sum 'Sr4 Pm2 W2 N8'
_cell_length_a 7.758
_cell_length_b 7.057
_cell_length_c 5.653
_cell_angle_alpha 90.00
_cell_angle_beta 90.00
_cell_angle_gamma 90.00
_space_group_name_H-M_alt 'P m n 21'
_space_group_IT_number 31
_space_group_name_Hall 'P 2ac -2'
loop_
_atom_site_label
_atom_site_fract_x
_atom_site_fract_y
_atom_site_fract_z
Sr1 0.247 0.159 0.000
Pm1 0.000 0.654 0.010
W1 0.000 0.345 0.534
N1 0.000 0.355 0.865
N2 0.000 0.604 0.429
N3 0.208 0.215 0.456
```

The density of states at the Fermi level is 0.280 states/eV per atom. For the final energy, the calculation gives -0.5705 Ry/atom. The value obtained for the total magnetization is 0.125 μB per atom. Its uncorrected formation energy is -0.965 eV per atom. The calculation puts the volume at 19.3 Å³ per atom.



[5]
The following is a DFT calculation (PBE) of crystalline SrPmWN3 at its relaxed geometry.

Cell and atoms, written as CIF:
```
data_SrPmWN3
_chemical_formula_sum 'Sr4 Pm4 W4 N12'
_cell_length_a 13.597
_cell_length_b 3.990
_cell_length_c 7.241
_cell_angle_alpha 90.00
_cell_angle_beta 105.35
_cell_angle_gamma 90.00
_space_group_name_H-M_alt 'C 1 2/m 1'
_space_group_IT_number 12
_space_group_name_Hall '-C 2y'
loop_
_atom_site_label
_atom_site_fract_x
_atom_site_fract_y
_atom_site_fract_z
Sr1 0.144 0.000 0.073
Pm1 0.159 0.000 0.576
W1 0.002 0.500 0.695
N1 0.003 0.000 0.283
N2 0.149 0.500 0.814
N3 0.156 0.500 0.345
```

The density of states at the Fermi level is 0.310 states/eV per atom. For the final energy, the calculation gives -0.6131 Ry/atom. The value obtained for the total magnetization is 0.000 μB per atom. Its uncorrected formation energy is -0.948 eV per atom. The calculation puts the volume at 15.8 Å³ per atom.



[6]
The following is a DFT calculation (PBE) of crystalline Pm3Ta2N7 at its relaxed geometry.

Cell and atoms, written as CIF:
```
data_Pm3Ta2N7
_chemical_formula_sum 'Pm6 Ta4 N14'
_cell_length_a 4.151
_cell_length_b 20.864
_cell_length_c 3.794
_cell_angle_alpha 90.00
_cell_angle_beta 90.00
_cell_angle_gamma 90.00
_space_group_name_H-M_alt 'C m m m'
_space_group_IT_number 65
_space_group_name_Hall '-C 2 2'
loop_
_atom_site_label
_atom_site_fract_x
_atom_site_fract_y
_atom_site_fract_z
Pm1 0.000 0.000 0.000
Pm2 0.000 0.185 0.000
Ta1 0.000 0.405 0.500
N1 0.000 0.096 0.500
N2 0.000 0.267 0.500
N3 0.000 0.379 0.000
N4 0.000 0.500 0.500
```

The density of states at the Fermi level is 0.054 states/eV per atom. For the final energy, the calculation gives -0.6607 Ry/atom. The value obtained for the total magnetization is 0.000 μB per atom. Its uncorrected formation energy is -0.970 eV per atom. The calculation puts the volume at 13.7 Å³ per atom.



[7]
The following is a DFT calculation (PBE) of crystalline PmTa3N6 at its relaxed geometry.

Cell and atoms, written as CIF:
```
data_PmTa3N6
_chemical_formula_sum 'Pm2 Ta6 N12'
_cell_length_a 8.628
_cell_length_b 3.190
_cell_length_c 9.003
_cell_angle_alpha 90.00
_cell_angle_beta 107.42
_cell_angle_gamma 90.00
_space_group_name_H-M_alt 'P 1 21/m 1'
_space_group_IT_number 11
_space_group_name_Hall '-P 2yb'
loop_
_atom_site_label
_atom_site_fract_x
_atom_site_fract_y
_atom_site_fract_z
Pm1 0.076 0.250 0.200
Ta1 0.164 0.250 0.586
Ta2 0.323 0.750 0.994
Ta3 0.490 0.250 0.328
N1 0.074 0.750 0.410
N2 0.148 0.250 0.953
N3 0.242 0.750 0.726
N4 0.314 0.750 0.235
N5 0.385 0.250 0.532
N6 0.478 0.250 0.099
```

For the final energy, the calculation gives -0.7449 Ry/atom. The value obtained for the total magnetization is 0.000 μB per atom. Its uncorrected formation energy is -1.109 eV per atom. The calculation puts the volume at 11.8 Å³ per atom.



[8]
The following is a DFT calculation (PBE) of crystalline PmTaN2 at its relaxed geometry.

Cell and atoms, written as CIF:
```
data_PmTaN2
_chemical_formula_sum 'Pm3 Ta3 N6'
_cell_length_a 3.2012
_cell_length_b 3.2012
_cell_length_c 17.7300
_cell_angle_alpha 90.00
_cell_angle_beta 90.00
_cell_angle_gamma 120.00
_space_group_name_H-M_alt 'R 3 m'
_space_group_IT_number 160
_space_group_name_Hall 'R 3 -2"'
loop_
_atom_site_label
_atom_site_fract_x
_atom_site_fract_y
_atom_site_fract_z
Pm1 0.0000 0.0000 0.0000
Ta1 0.0000 0.0000 0.1755
N1 0.0000 0.0000 0.4344
N2 0.0000 0.0000 0.5778
```

The density of states at the Fermi level is 0.022 states/eV per atom. For the final energy, the calculation gives -0.6953 Ry/atom. The value obtained for the total magnetization is 0.000 μB per atom. Its uncorrected formation energy is -1.146 eV per atom. The calculation puts the volume at 13.1 Å³ per atom.



[9]
The following is a DFT calculation (PBE) of crystalline Pm3Ta2N6 at its relaxed geometry.

Cell and atoms, written as CIF:
```
data_Pm3Ta2N6
_chemical_formula_sum 'Pm6 Ta4 N12'
_cell_length_a 4.040
_cell_length_b 4.040
_cell_length_c 19.727
_cell_angle_alpha 90.00
_cell_angle_beta 90.00
_cell_angle_gamma 90.00
_space_group_name_H-M_alt 'I 4/m m m'
_space_group_IT_number 139
_space_group_name_Hall '-I 4 2'
loop_
_atom_site_label
_atom_site_fract_x
_atom_site_fract_y
_atom_site_fract_z
Pm1 0.000 0.000 0.000
Pm2 0.000 0.000 0.181
Ta1 0.000 0.000 0.399
N1 0.000 0.000 0.301
N2 0.000 0.500 0.084
```

The density of states at the Fermi level is 0.281 states/eV per atom. For the final energy, the calculation gives -0.6872 Ry/atom. The value obtained for the total magnetization is 0.000 μB per atom. Its uncorrected formation energy is -1.357 eV per atom. The calculation puts the volume at 14.6 Å³ per atom.



[10]
The following is a DFT calculation (PBE) of crystalline PmTaN2 at its relaxed geometry.

Cell and atoms, written as CIF:
```
data_PmTaN2
_chemical_formula_sum 'Pm3 Ta3 N6'
_cell_length_a 3.2698
_cell_length_b 3.2698
_cell_length_c 16.8653
_cell_angle_alpha 90.00
_cell_angle_beta 90.00
_cell_angle_gamma 120.00
_space_group_name_H-M_alt 'R -3 m'
_space_group_IT_number 166
_space_group_name_Hall '-R 3 2"'
loop_
_atom_site_label
_atom_site_fract_x
_atom_site_fract_y
_atom_site_fract_z
Pm1 0.0000 0.0000 0.0000
Ta1 0.0000 0.0000 0.5000
N1 0.0000 0.0000 0.2339
```

The density of states at the Fermi level is 0.271 states/eV per atom. For the final energy, the calculation gives -0.7036 Ry/atom. The value obtained for the total magnetization is 0.000 μB per atom. Its uncorrected formation energy is -1.260 eV per atom. The calculation puts the volume at 13.0 Å³ per atom.



[11]
The following is a DFT calculation (PBE) of crystalline PmTa2N3 at its relaxed geometry.

Cell and atoms, written as CIF:
```
data_PmTa2N3
_chemical_formula_sum 'Pm4 Ta8 N12'
_cell_length_a 8.914
_cell_length_b 8.571
_cell_length_c 5.904
_cell_angle_alpha 90.00
_cell_angle_beta 90.00
_cell_angle_gamma 90.00
_space_group_name_H-M_alt 'C m c m'
_space_group_IT_number 63
_space_group_name_Hall '-C 2c 2'
loop_
_atom_site_label
_atom_site_fract_x
_atom_site_fract_y
_atom_site_fract_z
Pm1 0.000 0.151 0.250
Ta1 0.163 0.500 0.000
N1 0.000 0.452 0.750
N2 0.187 0.031 0.750
```

The density of states at the Fermi level is 0.551 states/eV per atom. For the final energy, the calculation gives -0.6932 Ry/atom. The value obtained for the total magnetization is 0.000 μB per atom. Its uncorrected formation energy is -0.526 eV per atom. The calculation puts the volume at 18.8 Å³ per atom.



[12]
The following is a DFT calculation (PBE) of crystalline Pm2TaN4 at its relaxed geometry.

Cell and atoms, written as CIF:
```
data_Pm2TaN4
_chemical_formula_sum 'Pm4 Ta2 N8'
_cell_length_a 6.071
_cell_length_b 6.128
_cell_length_c 6.810
_cell_angle_alpha 90.00
_cell_angle_beta 107.88
_cell_angle_gamma 90.00
_space_group_name_H-M_alt 'P 1 21/m 1'
_space_group_IT_number 11
_space_group_name_Hall '-P 2yb'
loop_
_atom_site_label
_atom_site_fract_x
_atom_site_fract_y
_atom_site_fract_z
Pm1 0.162 0.250 0.022
Pm2 0.241 0.250 0.551
Ta1 0.288 0.750 0.813
N1 0.061 0.512 0.751
N2 0.485 0.750 0.098
N3 0.491 0.250 0.340
```

The density of states at the Fermi level is 0.456 states/eV per atom. For the final energy, the calculation gives -0.6450 Ry/atom. The value obtained for the total magnetization is 0.115 μB per atom. Its uncorrected formation energy is -0.967 eV per atom. The calculation puts the volume at 17.2 Å³ per atom.